First-principles (GGA-PBE) data for crystalline Ca3AlRu at its relaxed geometry, as listed in the Alexandria database.

Values from the calculation:
symmetry: No. 221
total energy: -3.495 eV per atom
N(E_F): 4.1 states/eV/cell

Geometry as POSCAR:
```
Ca3AlRu
1.0
-1.9403 -1.7203 4.7338
0.5222 -5.1143 -1.6445
5.0095 -0.1332 2.0050
Ca Al Ru
3 1 1
direct
0.0000 0.5000 0.0000
0.0000 0.0000 0.5000
0.5000 0.0000 0.0000
0.5000 0.5000 0.5000
0.0000 0.0000 0.0000
```

---

First-principles (GGA-PBE) data for crystalline ZrHgAsSe2 at its relaxed geometry, as listed in the Alexandria database.

Values from the calculation:
symmetry: No. 123
uncorrected formation energy: -0.19 eV/atom
N(E_F): 5.7 states/eV/cell

Geometry as POSCAR:
```
ZrHgAsSe2
1.0
-1.2817 4.3747 2.4834
-5.0182 -1.2906 -0.3166
0.3644 -2.5764 4.7267
Hg Se Zr As
1 2 1 1
direct
0.5000 0.5000 0.5000
0.5000 0.0000 0.0000
0.0000 0.5000 0.0000
0.0000 0.0000 0.0000
0.0000 0.0000 0.5000
```

---

- Which formula does entry 2 have?
  ZrHgAsSe2

---

What did the first record say?
First-principles (GGA-PBE) data for crystalline Ca3AlRu at its relaxed geometry, as listed in the Alexandria database.

Values from the calculation:
symmetry: No. 221
total energy: -3.495 eV per atom
N(E_F): 4.1 states/eV/cell

Geometry as POSCAR:
```
Ca3AlRu
1.0
-1.9403 -1.7203 4.7338
0.5222 -5.1143 -1.6445
5.0095 -0.1332 2.0050
Ca Al Ru
3 1 1
direct
0.0000 0.5000 0.0000
0.0000 0.0000 0.5000
0.5000 0.0000 0.0000
0.5000 0.5000 0.5000
0.0000 0.0000 0.0000
```

---

- What is the N(E_F) in the second record?
  5.7 states/eV/cell

---

- Among the records above, which one has the lowest N(E_F)?
  Ca3AlRu